Entry 1:
A relaxed Co2PAu crystal, computed with PBE.

Cell and atoms, written as extended XYZ:
```
4
Lattice="-3.017 0.989 -2.680 -1.178 -0.853 -3.892 -2.763 -3.888 1.718" Properties=species:S:1:pos:R:3 pbc="T T T"
Co -4.937 -2.539 -3.630
Co -2.711 -3.678 1.478
Au -1.866 -0.821 -1.583
P -3.685 -2.476 -1.827
```

Calculated values
For the excess energy over the best structure of this formula in the dataset, the calculation gives 179 meV per atom. The energy of formation is 41 meV per atom. As for the density of states at the Fermi level: 3.695 states/eV/f.u. The raw total energy comes out at -0.209 hartree per atom. As for the volume: 14.18 Å³/atom. As for the crystal system: monoclinic.

***

Entry 2:
A relaxed Co2PAu crystal, computed with PBE.

Cell and atoms, written as extended XYZ:
```
4
Lattice="2.708 0.000 0.000 0.000 3.356 0.000 0.000 0.000 5.995" Properties=species:S:1:pos:R:3 pbc="T T T"
P 0.000 0.000 2.453
Au 1.354 1.678 4.624
Co 0.000 0.000 0.239
Co 1.354 1.678 1.677
```

Calculated values
For the excess energy over the best structure of this formula in the dataset, the calculation gives 246 meV per atom. The energy of formation is 108 meV per atom. As for the density of states at the Fermi level: 4.304 states/eV/f.u. The raw total energy comes out at -0.206 hartree per atom. As for the volume: 13.62 Å³/atom. As for the crystal system: orthorhombic.

***

Entry 3:
A relaxed CoP2Au crystal, computed with PBE.

Cell and atoms, written as extended XYZ:
```
4
Lattice="-1.737 0.407 4.591 2.780 -2.034 3.520 0.770 3.078 -3.768" Properties=species:S:1:pos:R:3 pbc="T T T"
P 0.000 0.000 0.000
P 2.036 0.115 1.904
Co -0.223 1.336 2.439
Au 0.522 -0.813 4.055
```

Calculated values
For the excess energy over the best structure of this formula in the dataset, the calculation gives 624 meV per atom. The energy of formation is 460 meV per atom. As for the density of states at the Fermi level: 2.353 states/eV/f.u. The raw total energy comes out at -0.178 hartree per atom. As for the volume: 14.34 Å³/atom. As for the crystal system: tetragonal.

***

Entry 4:
A relaxed CoP2Au crystal, computed with PBE.

Cell and atoms, written as extended XYZ:
```
4
Lattice="6.837 -0.066 -0.039 6.108 3.072 -0.039 6.108 1.419 2.725" Properties=species:S:1:pos:R:3 pbc="T T T"
P 0.191 0.044 0.027
P 4.853 1.127 0.674
Au 9.567 2.222 1.329
Co 13.968 3.245 1.941
```

Calculated values
For the excess energy over the best structure of this formula in the dataset, the calculation gives 314 meV per atom. The energy of formation is 151 meV per atom. As for the density of states at the Fermi level: 1.781 states/eV/f.u. The raw total energy comes out at -0.189 hartree per atom. As for the volume: 14.78 Å³/atom. As for the crystal system: trigonal.